1.
The following is a DFT calculation (GGA-PBE) of crystalline Cu2AgRuF8 at its relaxed geometry.

Structure (CIF):
```
data_Cu2AgRuF8
_chemical_formula_sum 'Cu2 Ag1 Ru1 F8'
_space_group_name_H-M_alt 'P -1'
_space_group_IT_number 2
_space_group_name_Hall '-P 1'
_cell_length_a 4.888
_cell_length_b 4.915
_cell_length_c 7.097
_cell_angle_alpha 83.33
_cell_angle_beta 83.27
_cell_angle_gamma 86.75
loop_
_atom_site_label
_atom_site_type_symbol
_atom_site_fract_x
_atom_site_fract_y
_atom_site_fract_z
Cu1 Cu 0.032 0.028 0.268
Ag1 Ag 0.500 0.500 0.500
Ru1 Ru 0.500 0.500 0.000
F1 F 0.182 0.171 0.516
F2 F 0.232 0.210 0.034
F3 F 0.274 0.678 0.207
F4 F 0.303 0.706 0.795
```

For the final energy, the calculation gives -4.3957 eV per atom. As for the formation energy from raw total energies: -1455 meV per atom.

=====

2.
The following is a DFT calculation (GGA-PBE) of crystalline CuAg2RuF at its relaxed geometry.

Structure (CIF):
```
data_CuAg2RuF
_chemical_formula_sum 'Cu1 Ag2 Ru1 F1'
_space_group_name_H-M_alt 'P 4/m m m'
_space_group_IT_number 123
_space_group_name_Hall '-P 4 2'
_cell_length_a 4.813
_cell_length_b 4.813
_cell_length_c 3.687
_cell_angle_alpha 90.00
_cell_angle_beta 90.00
_cell_angle_gamma 90.00
loop_
_atom_site_label
_atom_site_type_symbol
_atom_site_fract_x
_atom_site_fract_y
_atom_site_fract_z
Cu1 Cu 0.000 0.000 0.000
Ag1 Ag 0.000 0.500 0.500
Ru1 Ru 0.500 0.500 0.000
F1 F 0.000 0.000 0.500
```

For the final energy, the calculation gives -3.6505 eV per atom. As for the formation energy from raw total energies: 539 meV per atom.

=====

3.
The following is a DFT calculation (GGA-PBE) of crystalline CuAgS2F at its relaxed geometry.

Structure (CIF):
```
data_CuAgS2F
_chemical_formula_sum 'Cu1 Ag1 S2 F1'
_space_group_name_H-M_alt 'P 4/m m m'
_space_group_IT_number 123
_space_group_name_Hall '-P 4 2'
_cell_length_a 4.700
_cell_length_b 4.700
_cell_length_c 3.876
_cell_angle_alpha 90.00
_cell_angle_beta 90.00
_cell_angle_gamma 90.00
loop_
_atom_site_label
_atom_site_type_symbol
_atom_site_fract_x
_atom_site_fract_y
_atom_site_fract_z
Cu1 Cu 0.000 0.000 0.000
Ag1 Ag 0.500 0.500 0.000
S1 S 0.000 0.500 0.500
F1 F 0.000 0.000 0.500
```

For the final energy, the calculation gives -2.9725 eV per atom. As for the formation energy from raw total energies: 442 meV per atom.

=====

4.
The following is a DFT calculation (GGA-PBE) of crystalline Cu2SiAgF8 at its relaxed geometry.

Structure (CIF):
```
data_Cu2SiAgF8
_chemical_formula_sum 'Cu2 Si1 Ag1 F8'
_space_group_name_H-M_alt 'P -1'
_space_group_IT_number 2
_space_group_name_Hall '-P 1'
_cell_length_a 4.767
_cell_length_b 4.912
_cell_length_c 7.037
_cell_angle_alpha 79.88
_cell_angle_beta 82.66
_cell_angle_gamma 85.09
loop_
_atom_site_label
_atom_site_type_symbol
_atom_site_fract_x
_atom_site_fract_y
_atom_site_fract_z
Cu1 Cu 0.065 0.033 0.272
Si1 Si 0.500 0.500 0.000
Ag1 Ag 0.500 0.500 0.500
F1 F 0.158 0.189 0.515
F2 F 0.262 0.244 0.032
F3 F 0.288 0.662 0.168
F4 F 0.325 0.687 0.817
```

For the final energy, the calculation gives -4.6282 eV per atom. As for the formation energy from raw total energies: -2008 meV per atom.

=====

5.
The following is a DFT calculation (GGA-PBE) of crystalline CuSiAgF6 at its relaxed geometry.

Structure (CIF):
```
data_CuSiAgF6
_chemical_formula_sum 'Cu2 Si2 Ag2 F12'
_space_group_name_H-M_alt 'P -3 1 c'
_space_group_IT_number 163
_space_group_name_Hall '-P 3 2c'
_cell_length_a 5.4788
_cell_length_b 5.4788
_cell_length_c 9.6510
_cell_angle_alpha 90.00
_cell_angle_beta 90.00
_cell_angle_gamma 120.00
loop_
_atom_site_label
_atom_site_type_symbol
_atom_site_fract_x
_atom_site_fract_y
_atom_site_fract_z
Cu1 Cu 0.3333 0.6667 0.2500
Si1 Si 0.3333 0.6667 0.7500
Ag1 Ag 0.0000 0.0000 0.0000
F1 F 0.0724 0.4122 0.6479
```

For the final energy, the calculation gives -4.7844 eV per atom. As for the formation energy from raw total energies: -2162 meV per atom.

=====

6.
The following is a DFT calculation (GGA-PBE) of crystalline SmCu2AgF8 at its relaxed geometry.

Structure (CIF):
```
data_SmCu2AgF8
_chemical_formula_sum 'Sm2 Cu4 Ag2 F16'
_space_group_name_H-M_alt 'I -4'
_space_group_IT_number 82
_space_group_name_Hall 'I -4'
_cell_length_a 5.615
_cell_length_b 5.615
_cell_length_c 10.666
_cell_angle_alpha 90.00
_cell_angle_beta 90.00
_cell_angle_gamma 90.00
loop_
_atom_site_label
_atom_site_type_symbol
_atom_site_fract_x
_atom_site_fract_y
_atom_site_fract_z
Sm1 Sm 0.000 0.000 0.000
Cu1 Cu 0.000 0.000 0.500
Cu2 Cu 0.000 0.500 0.250
Ag1 Ag 0.000 0.500 0.750
F1 F 0.128 0.795 0.186
F2 F 0.166 0.282 0.553
```

For the final energy, the calculation gives -4.8051 eV per atom. As for the formation energy from raw total energies: -2244 meV per atom.

=====

7.
The following is a DFT calculation (GGA-PBE) of crystalline Cu2AgSnF8 at its relaxed geometry.

Structure (CIF):
```
data_Cu2AgSnF8
_chemical_formula_sum 'Cu2 Ag1 Sn1 F8'
_space_group_name_H-M_alt 'P -1'
_space_group_IT_number 2
_space_group_name_Hall '-P 1'
_cell_length_a 5.028
_cell_length_b 5.028
_cell_length_c 7.189
_cell_angle_alpha 83.42
_cell_angle_beta 83.52
_cell_angle_gamma 88.34
loop_
_atom_site_label
_atom_site_type_symbol
_atom_site_fract_x
_atom_site_fract_y
_atom_site_fract_z
Cu1 Cu 0.025 0.025 0.276
Ag1 Ag 0.500 0.500 0.500
Sn1 Sn 0.500 0.500 0.000
F1 F 0.177 0.179 0.514
F2 F 0.214 0.216 0.040
F3 F 0.293 0.693 0.202
F4 F 0.308 0.709 0.797
```

For the final energy, the calculation gives -4.2480 eV per atom. As for the formation energy from raw total energies: -1747 meV per atom.

=====

8.
The following is a DFT calculation (GGA-PBE) of crystalline Sr2CuAgF8 at its relaxed geometry.

Structure (CIF):
```
data_Sr2CuAgF8
_chemical_formula_sum 'Sr2 Cu1 Ag1 F8'
_space_group_name_H-M_alt 'P -1'
_space_group_IT_number 2
_space_group_name_Hall '-P 1'
_cell_length_a 4.210
_cell_length_b 5.562
_cell_length_c 8.405
_cell_angle_alpha 80.79
_cell_angle_beta 87.72
_cell_angle_gamma 80.64
loop_
_atom_site_label
_atom_site_type_symbol
_atom_site_fract_x
_atom_site_fract_y
_atom_site_fract_z
Sr1 Sr 0.004 0.011 0.245
Cu1 Cu 0.500 0.500 0.000
Ag1 Ag 0.500 0.500 0.500
F1 F 0.069 0.747 0.528
F2 F 0.122 0.735 0.032
F3 F 0.437 0.282 0.195
F4 F 0.441 0.235 0.708
```

For the final energy, the calculation gives -4.7422 eV per atom. As for the formation energy from raw total energies: -2635 meV per atom.

=====

9.
The following is a DFT calculation (GGA-PBE) of crystalline SrCu3Ag4F12 at its relaxed geometry.

Structure (CIF):
```
data_SrCu3Ag4F12
_chemical_formula_sum 'Sr2 Cu6 Ag8 F24'
_space_group_name_H-M_alt 'I m -3'
_space_group_IT_number 204
_space_group_name_Hall '-I 2 2 3'
_cell_length_a 8.506
_cell_length_b 8.506
_cell_length_c 8.506
_cell_angle_alpha 90.00
_cell_angle_beta 90.00
_cell_angle_gamma 90.00
loop_
_atom_site_label
_atom_site_type_symbol
_atom_site_fract_x
_atom_site_fract_y
_atom_site_fract_z
Sr1 Sr 0.000 0.000 0.000
Cu1 Cu 0.000 0.000 0.500
Ag1 Ag 0.250 0.250 0.250
F1 F 0.000 0.326 0.148
```

For the final energy, the calculation gives -3.9688 eV per atom. As for the formation energy from raw total energies: -1577 meV per atom.

=====

10.
The following is a DFT calculation (GGA-PBE) of crystalline TbCu2AgF8 at its relaxed geometry.

Structure (CIF):
```
data_TbCu2AgF8
_chemical_formula_sum 'Tb2 Cu4 Ag2 F16'
_space_group_name_H-M_alt 'I -4'
_space_group_IT_number 82
_space_group_name_Hall 'I -4'
_cell_length_a 5.564
_cell_length_b 5.564
_cell_length_c 10.619
_cell_angle_alpha 90.00
_cell_angle_beta 90.00
_cell_angle_gamma 90.00
loop_
_atom_site_label
_atom_site_type_symbol
_atom_site_fract_x
_atom_site_fract_y
_atom_site_fract_z
Tb1 Tb 0.000 0.000 0.000
Cu1 Cu 0.000 0.000 0.500
Cu2 Cu 0.000 0.500 0.250
Ag1 Ag 0.000 0.500 0.750
F1 F 0.128 0.797 0.183
F2 F 0.174 0.280 0.554
```

For the final energy, the calculation gives -4.8075 eV per atom. As for the formation energy from raw total energies: -2254 meV per atom.

=====

11.
The following is a DFT calculation (GGA-PBE) of crystalline TbCuAg2F6 at its relaxed geometry.

Structure (CIF):
```
data_TbCuAg2F6
_chemical_formula_sum 'Tb2 Cu2 Ag4 F12'
_space_group_name_H-M_alt 'P 1 21/c 1'
_space_group_IT_number 14
_space_group_name_Hall '-P 2ybc'
_cell_length_a 5.579
_cell_length_b 5.997
_cell_length_c 11.756
_cell_angle_alpha 90.00
_cell_angle_beta 117.64
_cell_angle_gamma 90.00
loop_
_atom_site_label
_atom_site_type_symbol
_atom_site_fract_x
_atom_site_fract_y
_atom_site_fract_z
Tb1 Tb 0.000 0.000 0.000
Cu1 Cu 0.500 0.000 0.500
Ag1 Ag 0.227 0.003 0.722
F1 F 0.051 0.678 0.350
F2 F 0.265 0.221 0.500
F3 F 0.349 0.683 0.645
```

For the final energy, the calculation gives -4.7592 eV per atom. As for the formation energy from raw total energies: -2194 meV per atom.

=====

12.
The following is a DFT calculation (GGA-PBE) of crystalline TbCuAgF6 at its relaxed geometry.

Structure (CIF):
```
data_TbCuAgF6
_chemical_formula_sum 'Tb2 Cu2 Ag2 F12'
_space_group_name_H-M_alt 'P -3 1 c'
_space_group_IT_number 163
_space_group_name_Hall '-P 3 2c'
_cell_length_a 5.7206
_cell_length_b 5.7206
_cell_length_c 9.8874
_cell_angle_alpha 90.00
_cell_angle_beta 90.00
_cell_angle_gamma 120.00
loop_
_atom_site_label
_atom_site_type_symbol
_atom_site_fract_x
_atom_site_fract_y
_atom_site_fract_z
Tb1 Tb 0.3333 0.6667 0.2500
Cu1 Cu 0.3333 0.6667 0.7500
Ag1 Ag 0.0000 0.0000 0.0000
F1 F 0.0188 0.3692 0.6377
```

For the final energy, the calculation gives -5.0156 eV per atom. As for the formation energy from raw total energies: -2482 meV per atom.

=====

| no. | volume (Å³ per atom) |
| --- | --- |
| 1 | 14.002 |
| 2 | 17.081 |
| 3 | 17.124 |
| 4 | 13.379 |
| 5 | 13.938 |
| 6 | 14.012 |
| 7 | 14.945 |
| 8 | 15.973 |
| 9 | 15.385 |
| 10 | 13.695 |
| 11 | 17.423 |
| 12 | 15.567 |